# CaTbCd4

A relaxed CaTbCd4 crystal (PBE-GGA, Alexandria via LeMat-Bulk). Values from VASP.

Quantum ESPRESSO input file:
```
&SYSTEM
  ibrav = 0, nat = 6, ntyp = 3
/
ATOMIC_SPECIES
Cd 112.41 Cd.upf
Tb 158.93 Tb.upf
Ca 40.08 Ca.upf
CELL_PARAMETERS angstrom
4.690 -1.421 0.897
-1.390 4.702 0.884
1.485 1.493 8.490
ATOMIC_POSITIONS angstrom
Cd 2.923 0.867 6.939
Cd 3.902 1.832 3.302
Cd 0.897 2.907 6.935
Cd 1.877 3.872 3.298
Tb 3.142 3.116 9.363
Ca -0.641 5.432 5.112
```

Formation energy = -0.335 eV per atom
Energy above the most stable polymorph in this dataset = 0.0000 eV/atom
Space group = No. 12